No. 1
Density functional theory data (PBE-GGA) for a geometry-optimized TaBr structure.

Unit cell a=4.4972 b=4.4972 c=13.3436 alpha=90.00 beta=90.00 gamma=120.00
Space group P6_3/mmc (No. 194)
One atom of each set of equivalent atoms:
Ta: 0.0000 0.0000 0.2500 [2 per cell]
Ta: 0.3333 0.6667 0.2500 [2 per cell]
Br: 0.3333 0.6667 0.6215 [4 per cell]

## Properties
The calculated total energy comes out at -5.810 eV per atom. For the density of states at the Fermi level, the calculation gives 9.29 states/eV/cell.

---

No. 2
Density functional theory data (PBE-GGA) for a geometry-optimized CeY4Er3S8 structure.

Unit cell a=7.8245 b=7.8245 c=19.1480 alpha=90.00 beta=90.00 gamma=120.00
Space group R-3m (No. 166, hexagonal axes)
One atom of each set of equivalent atoms:
Ce: 0.0000 0.0000 0.0000 [3 per cell]
Y: 0.0000 0.0000 0.5000 [3 per cell]
Y: 0.0000 0.5000 0.5000 [9 per cell]
Er: 0.0000 0.5000 0.0000 [9 per cell]
S: 0.0000 0.0000 0.2518 [6 per cell]
S: 0.0059 0.5029 0.2503 [18 per cell]

## Properties
The calculated total energy comes out at -6.893 eV per atom. For the density of states at the Fermi level, the calculation gives 32.07 states/eV/cell.

---

No. 3
Density functional theory data (PBE-GGA) for a geometry-optimized EuZrF6 structure.

Unit cell a=7.6782 b=11.0520 c=5.4147 alpha=90.00 beta=90.00 gamma=90.00
Space group Cmme (No. 67)
One atom of each set of equivalent atoms:
Eu: 0.0000 0.2500 0.0392 [4 per cell]
Zr: 0.2500 0.0000 0.5000 [4 per cell]
F: 0.0000 0.0781 0.3466 [8 per cell]
F: 0.1883 0.1278 0.7627 [16 per cell]

## Properties
The calculated total energy comes out at -7.516 eV per atom. For the density of states at the Fermi level, the calculation gives 21.04 states/eV/cell.